A relaxed SmCuPd4 crystal. Source: Alexandria via LeMat-Bulk, functional PBE-GGA.

N(E_F) ... 0.493 states/eV per atom
Spin magnetization ... 0.00 μB/cell
E_tot ... -5.40 eV per atom
Calculated formation energy ... -2.8 eV/f.u.

abc: 4.090 6.865 7.479
angles: 90.00 90.00 90.00
Fractional positions:
Sm 0.000 0.646 0.750
Sm 0.000 0.354 0.250
Cu 0.000 0.236 0.750
Cu 0.000 0.764 0.250
Pd 0.000 0.000 0.500
Pd 0.000 0.000 0.000
Pd 0.500 0.959 0.750
Pd 0.500 0.041 0.250
Pd 0.500 0.692 0.051
Pd 0.500 0.308 0.949
Pd 0.500 0.692 0.449
Pd 0.500 0.308 0.551